Entry 1:
Computed, not measured: a relaxed YIr2Ru crystal at the PBEsol level of DFT.

The structure in POSCAR format:
```
YIr2Ru
1.0
-2.308 -1.410 0.850
2.231 -2.584 1.774
-0.167 3.271 4.974
Ir Ru Y
2 1 1
Direct
0.000 0.000 0.784
0.000 0.000 0.216
0.500 0.500 0.000
0.500 0.500 0.500
```

Computed properties:
Magnetization (μB per formula unit): 0.0
ΔE_f (eV/atom): -0.1230



Entry 2:
Computed, not measured: a relaxed Y2IrRu crystal at the PBEsol level of DFT.

The structure in POSCAR format:
```
Y2IrRu
1.0
-4.043 1.697 1.837
-4.044 -2.452 -0.484
-1.965 -2.113 3.778
Y Ru Ir
2 1 1
Direct
0.250 0.250 0.250
0.750 0.750 0.750
0.000 0.000 0.000
0.500 0.500 0.500
```

Computed properties:
Magnetization (μB per formula unit): 0.0
ΔE_f (eV/atom): -0.5315



Entry 3:
Computed, not measured: a relaxed ZnIr2Ru crystal at the PBEsol level of DFT.

The structure in POSCAR format:
```
ZnIr2Ru
1.0
-0.994 -0.613 -2.436
4.218 -1.339 -1.385
-0.994 -3.562 2.801
Ru Zn Ir
1 1 2
Direct
0.000 0.500 0.000
0.500 0.000 0.000
0.254 0.252 0.509
0.746 0.748 0.491
```

Computed properties:
Magnetization (μB per formula unit): 0.0
ΔE_f (eV/atom): -0.0099



Entry 4:
Computed, not measured: a relaxed ZnIr2Ru crystal at the PBEsol level of DFT.

The structure in POSCAR format:
```
ZnIr2Ru
1.0
2.720 0.000 0.000
0.000 2.720 0.000
0.000 0.000 7.417
Ru Zn Ir
1 1 2
Direct
0.000 0.000 0.497
0.500 0.500 0.749
0.000 0.000 0.999
0.500 0.500 0.255
```

Computed properties:
Magnetization (μB per formula unit): 0.0
ΔE_f (eV/atom): -0.0172